1.
Co4PtW after structural relaxation, computed with PBE.

Computed properties:
Formation enthalpy at 0 K   -29.7 meV per atom

a = 4.6887 Å, b = 4.6887 Å, c = 4.6887 Å
α = 60.00°, β = 60.00°, γ = 60.00°
Last column: nearest neighbours and their distance in Å.
Element x y z (fractional)
Co: 0.3751 0.3751 0.3751  6 Co 2.34-2.35
Co: 0.3751 0.8747 0.3751  6 Co 2.34-2.35
Co: 0.3751 0.3751 0.8747  6 Co 2.34-2.35
Co: 0.8747 0.3751 0.3751  6 Co 2.34-2.35
Pt: 0.7500 0.7500 0.7500  12 Co 2.75, 4 W 2.87
W: 0.0000 0.0000 0.0000  12 Co 2.75, 4 Pt 2.87

***

2.
CoPtW2 after structural relaxation, computed with PBE.

Computed properties:
Excess energy over the best structure of this formula in the dataset   4.49 kcal/mol of atoms
Formation enthalpy at 0 K   113.7 meV per atom

a = 9.0676 Å, b = 9.0676 Å, c = 9.0676 Å
α = 17.51°, β = 17.51°, γ = 17.51°
Last column: nearest neighbours and their distance in Å.
Element x y z (fractional)
Co: 0.2500 0.2500 0.2500  6 W 2.64, 6 Co 2.76
Pt: 0.7500 0.7500 0.7500  6 Pt 2.76, 6 W 2.84
W: 0.9954 0.9954 0.9954  3 Co 2.64, 6 W 2.76, 3 Pt 2.84
W: 0.5046 0.5046 0.5046  3 Co 2.64, 6 W 2.76, 3 Pt 2.84

***

3.
CoPtW2 after structural relaxation, computed with PBE.

Computed properties:
Excess energy over the best structure of this formula in the dataset   1.34 kcal/mol of atoms
Formation enthalpy at 0 K   -22.9 meV per atom

a = 2.7295 Å, b = 2.7295 Å, c = 7.8350 Å
α = 90.00°, β = 90.00°, γ = 90.07°
Last column: nearest neighbours and their distance in Å.
Element x y z (fractional)
Co: 0.0000 0.0000 0.4938  4 W 2.57-2.58, 4 Pt 2.71, 4 Co 2.73
Pt: 0.5000 0.5000 0.7371  4 Co 2.71, 4 Pt 2.73, 4 W 2.78
W: 0.0000 0.0000 0.9927  8 W 2.73-2.94, 4 Pt 2.78
W: 0.5000 0.5000 0.2764  4 Co 2.57-2.58, 4 W 2.73

***

4.
CoPt2W after structural relaxation, computed with PBE.

Computed properties:
Excess energy over the best structure of this formula in the dataset   0.57 kcal/mol of atoms
Formation enthalpy at 0 K   -160.6 meV per atom

a = 3.9335 Å, b = 2.7430 Å, c = 6.0396 Å
α = 62.99°, β = 90.00°, γ = 90.00°
Last column: nearest neighbours and their distance in Å.
Element x y z (fractional)
Co: 0.5000 0.7500 0.7500  2 W 2.69, 8 Pt 2.74, 2 Co 2.74
Pt: 0.0000 0.0031 0.9961  4 Pt 2.65-2.74, 4 Co 2.74, 4 W 2.76
Pt: 0.0000 0.4969 0.5039  4 Pt 2.65-2.74, 4 Co 2.74, 4 W 2.76
W: 0.5000 0.2500 0.2500  2 Co 2.69, 2 W 2.74, 8 Pt 2.76

***

5.
CoPtW2 after structural relaxation, computed with PBE.

Computed properties:
Excess energy over the best structure of this formula in the dataset   4.01 kcal/mol of atoms
Formation enthalpy at 0 K   92.8 meV per atom

a = 4.8001 Å, b = 4.8001 Å, c = 4.6625 Å
α = 79.48°, β = 79.48°, γ = 33.97°
Last column: nearest neighbours and their distance in Å.
Element x y z (fractional)
Co: 0.7500 0.7500 0.7500  6 W 2.72-2.77, 4 Pt 2.72, 2 Co 2.80
Pt: 0.2500 0.2500 0.2500  4 Co 2.72, 6 W 2.76-2.78, 2 Pt 2.80
W: 0.0033 0.0033 0.9925  6 W 2.67-2.80, 3 Co 2.72-2.77, 3 Pt 2.76-2.78
W: 0.4967 0.4967 0.5075  6 W 2.67-2.80, 3 Co 2.72-2.77, 3 Pt 2.76-2.78

***

6.
Co3Pt4W2 after structural relaxation, computed with PBE.

Computed properties:
Formation enthalpy at 0 K   -185.2 meV per atom

a = 3.8176 Å, b = 4.7495 Å, c = 8.0705 Å
α = 72.29°, β = 90.00°, γ = 66.30°
Last column: nearest neighbours and their distance in Å.
Element x y z (fractional)
Co: 0.3251 0.3497 0.4473  3 W 2.53-2.59, 6 Pt 2.61-2.82, 2 Co 2.61
Co: 0.0000 0.0000 0.0000  8 Pt 2.67-2.75, 4 W 2.78
Co: 0.6749 0.6503 0.5527  3 W 2.53-2.59, 6 Pt 2.61-2.82, 2 Co 2.61
Pt: 0.6647 0.6706 0.8904  4 Pt 2.69-2.71, 4 Co 2.71-2.76, 4 W 2.77-2.79
Pt: 0.0075 0.9850 0.3339  6 Co 2.61-2.82, 3 W 2.66-2.74, 3 Pt 2.71-2.73
Pt: 0.9925 0.0150 0.6661  6 Co 2.61-2.82, 3 W 2.66-2.74, 3 Pt 2.71-2.73
Pt: 0.3353 0.3294 0.1096  4 Pt 2.69-2.71, 4 Co 2.71-2.76, 4 W 2.77-2.79
W: 0.3252 0.3495 0.7612  5 Co 2.53-2.78, 7 Pt 2.66-2.79
W: 0.6748 0.6505 0.2388  5 Co 2.53-2.78, 7 Pt 2.66-2.79

***

7.
CoPt2W after structural relaxation, computed with PBE.

Computed properties:
Excess energy over the best structure of this formula in the dataset   1.31 kcal/mol of atoms
Formation enthalpy at 0 K   -128.6 meV per atom

a = 4.7380 Å, b = 4.7380 Å, c = 4.7784 Å
α = 80.30°, β = 80.30°, γ = 33.64°
Last column: nearest neighbours and their distance in Å.
Element x y z (fractional)
Co: 0.2463 0.2463 0.2491  3 W 2.68-2.82, 7 Pt 2.69-2.82, 2 Co 2.74
Pt: 0.9949 0.9949 0.0180  4 W 2.70-2.81, 3 Co 2.70, 5 Pt 2.74-2.85
Pt: 0.7537 0.7537 0.7316  3 W 2.68-2.72, 4 Co 2.69-2.82, 5 Pt 2.74-2.85
W: 0.5052 0.5052 0.5013  7 Pt 2.68-2.81, 3 Co 2.68-2.82, 2 W 2.74

***

8.
CoPt2W after structural relaxation, computed with PBE.

Computed properties:
Excess energy over the best structure of this formula in the dataset   3.57 kcal/mol of atoms
Formation enthalpy at 0 K   -30.5 meV per atom

a = 9.0878 Å, b = 9.0878 Å, c = 9.0878 Å
α = 17.45°, β = 17.45°, γ = 17.45°
Last column: nearest neighbours and their distance in Å.
Element x y z (fractional)
Co: 0.7512 0.7512 0.7512  3 W 2.64, 3 Pt 2.66, 6 Co 2.76
Pt: 0.0051 0.0051 0.0051  3 Co 2.66, 9 Pt 2.76-2.91
Pt: 0.2475 0.2475 0.2475  9 Pt 2.76-2.91, 3 W 2.77
W: 0.4962 0.4962 0.4962  3 Co 2.64, 6 W 2.76, 3 Pt 2.77

***

9.
CoPtW2 after structural relaxation, computed with PBE.

Computed properties:
Excess energy over the best structure of this formula in the dataset   15.62 kcal/mol of atoms
Formation enthalpy at 0 K   596.6 meV per atom

a = 3.7669 Å, b = 3.7669 Å, c = 9.3932 Å
α = 78.43°, β = 78.43°, γ = 90.00°
Last column: nearest neighbours and their distance in Å.
Element x y z (fractional)
Co: 0.5000 0.5000 0.0000  4 W 2.59, 4 Pt 2.66
Co: 0.2500 0.7500 0.5000  4 W 2.59, 4 Pt 2.66
W: 0.6069 0.1250 0.2500  4 W 2.57-2.76, 2 Co 2.59, 2 Pt 2.64
W: 0.1431 0.6250 0.2500  4 W 2.57-2.76, 2 Co 2.59, 2 Pt 2.64
W: 0.3750 0.3931 0.7500  4 W 2.57-2.76, 2 Co 2.59, 2 Pt 2.64
W: 0.8750 0.8569 0.7500  4 W 2.57-2.76, 2 Co 2.59, 2 Pt 2.64
Pt: 0.0000 0.0000 0.0000  4 W 2.64, 4 Co 2.66
Pt: 0.7500 0.2500 0.5000  4 W 2.64, 4 Co 2.66

***

10.
CoPt3W after structural relaxation, computed with PBE.

Computed properties:
Excess energy over the best structure of this formula in the dataset   0.00 kcal/mol of atoms
Formation enthalpy at 0 K   1344.5 meV per atom

a = 4.4989 Å, b = 4.4989 Å, c = 4.4989 Å
α = 90.00°, β = 90.00°, γ = 90.00°
Last column: nearest neighbours and their distance in Å.
Element x y z (fractional)
Co: 0.0000 0.0000 0.0000  6 Pt 2.25
W: 0.5000 0.5000 0.5000  12 Pt 3.18
Pt: 0.0000 0.5000 0.0000  2 Co 2.25
Pt: 0.0000 0.0000 0.5000  2 Co 2.25
Pt: 0.5000 0.0000 0.0000  2 Co 2.25